(1)
# TmCdPdPt

A relaxed structure of TmCdPdPt (PBE, the Alexandria database).

Cell lengths 4.7553, 4.7553, 4.7553 Å; angles 60.00, 60.00, 60.00 degrees
With the nearest neighbours (Å) after each atom.
Atoms (fractional coordinates):
Pd (0.2500, 0.2500, 0.2500)  4 Tm 2.91, 4 Cd 2.91
Pt (0.7500, 0.7500, 0.7500)  4 Cd 2.91, 4 Tm 2.91
Cd (0.0000, 0.0000, 0.0000)  4 Pd 2.91, 4 Pt 2.91
Tm (0.5000, 0.5000, 0.5000)  4 Pt 2.91, 4 Pd 2.91

Summary:
DFT total energy in Ha/atom: -0.1839
D(E_F) in states/eV per cell: 1.73

(2)
# KBeW

A relaxed structure of KBeW (PBE, the Alexandria database).

Cell lengths 2.8293, 2.8293, 8.0621 Å; angles 90.00, 90.00, 120.00 degrees
With the nearest neighbours (Å) after each atom.
Atoms (fractional coordinates):
W (0.3333, 0.6667, 0.7142)  3 Be 2.56, 6 W 2.83
Be (0.0000, 0.0000, 0.9583)  3 W 2.56, 6 Be 2.83
K (0.6667, 0.3333, 0.3275)  6 K 2.83

Summary:
Relative energy among the computed polymorphs in kJ per mole of atoms: 10.5
D(E_F) in states/eV per cell: 3.28

| no. | V (Å³ per cell) |
| --- | --- |
| 1 | 76 |
| 2 | 56 |